The following is a DFT calculation (PBE) of crystalline MgBTe at its relaxed geometry.

Properties
* spin magnetization: 0.00 μB per formula unit
* raw formation energy: -0.12 eV per atom

a b c (Å): 3.2626 3.2624 12.1174
angles (deg): 89.99 90.18 120.00
Fractional coordinates of all 6 atoms:
B: 0.6667 0.8334 0.5018
B: 0.3333 0.1666 0.4982
Mg: 0.0019 0.5010 0.6336
Mg: 0.9981 0.4990 0.3664
Te: 0.3394 0.1704 0.8315
Te: 0.6606 0.8296 0.1685